This record from Alexandria describes a relaxed structure of AcFeBiO5. The functional is GGA+U.

Unit cell a=6.1464 b=6.1464 c=7.8562 alpha=103.16 beta=103.16 gamma=108.14
Closest atoms and distances in Å follow each position.
Atoms (fractional coordinates):
Ac1 0.1611 0.8389 0.7500  5 O 2.48-2.59
Ac2 0.8389 0.1611 0.2500  5 O 2.48-2.59
Fe1 0.1828 0.8172 0.2500  4 O 1.90-1.91
Fe2 0.8172 0.1828 0.7500  4 O 1.90-1.91
Bi1 0.5000 0.5000 0.0000  6 O 2.16-2.31
Bi2 0.5000 0.5000 0.5000  6 O 2.16-2.31
O1 0.1143 0.2265 0.9211  1 Fe 1.90
O2 0.1730 0.5935 0.3844  1 Fe 1.91
O3 0.2265 0.1143 0.4211  1 Fe 1.90
O4 0.4065 0.8270 0.1156  1 Fe 1.91
O5 0.4103 0.5897 0.7500  2 Bi 2.16
O6 0.5897 0.4103 0.2500  2 Bi 2.16
O7 0.5935 0.1730 0.8844  1 Fe 1.91
O8 0.7735 0.8857 0.5789  1 Fe 1.90
O9 0.8270 0.4065 0.6156  1 Fe 1.91
O10 0.8857 0.7735 0.0789  1 Fe 1.90

Properties
magnetization	9.249	μB/cell
DOS(E_F)	2.0	states/eV/f.u.
DFT total energy	-6.69	eV per atom

=====

This record from Alexandria describes a relaxed structure of AcFe2BiO6. The functional is GGA+U.

Unit cell a=5.8365 b=5.8750 c=10.1182 alpha=90.00 beta=125.16 gamma=90.00
Closest atoms and distances in Å follow each position.
Atoms (fractional coordinates):
Ac1 0.0000 0.0000 0.0000  2 O 2.36
Ac2 0.0000 0.5000 0.5000  2 O 2.36
Fe1 0.1921 0.0137 0.7152  4 O 2.06-2.19
Fe2 0.1921 0.4863 0.2152  4 O 2.06-2.19
Fe3 0.8079 0.5137 0.7848  4 O 2.06-2.19
Fe4 0.8079 0.9863 0.2848  4 O 2.06-2.19
Bi1 0.5000 0.0000 0.5000  6 O 2.10-2.20
Bi2 0.5000 0.5000 0.0000  6 O 2.10-2.20
O1 0.1379 0.1605 0.2823  2 Fe 2.11-2.19, 1 Bi 2.20
O2 0.1379 0.3395 0.7823  2 Fe 2.11-2.19, 1 Bi 2.20
O3 0.1994 0.6377 0.0288  1 Bi 2.10, 2 Fe 2.11-2.31
O4 0.1994 0.8623 0.5288  1 Bi 2.10, 2 Fe 2.11-2.31
O5 0.4885 0.2058 0.1284  1 Fe 2.06, 1 Bi 2.19
O6 0.4885 0.2942 0.6284  1 Fe 2.06, 1 Bi 2.19
O7 0.5115 0.7058 0.3716  1 Fe 2.06, 1 Bi 2.19
O8 0.5115 0.7942 0.8716  1 Fe 2.06, 1 Bi 2.19
O9 0.8006 0.1377 0.4712  1 Bi 2.10, 2 Fe 2.11-2.31
O10 0.8006 0.3623 0.9712  1 Bi 2.10, 2 Fe 2.11-2.31
O11 0.8621 0.6605 0.2177  2 Fe 2.11-2.19, 1 Bi 2.20
O12 0.8621 0.8395 0.7177  2 Fe 2.11-2.19, 1 Bi 2.20

Properties
magnetization	16.020	μB/cell
DFT total energy	-6.56	eV per atom